ScMoS2: optimized geometry, GGA-PBE.

Results
D(E_F) (states/eV/f.u.): 3.6
Relative energy among the computed polymorphs (kJ/mol of formula units): 98
Total magnetization (μB/atom): 0.0000
Energy relative to the elements, uncorrected (meV/atom): -529

a b c (Å): 8.1517 8.1517 8.1517
angles (deg): 23.80 23.80 23.80
Last column: nearest neighbours and their distance in Å.
Positions (direct):
Sc: 0.5000 0.5000 0.5000  6 S 2.52
S: 0.9010 0.9010 0.9010  1 Mo 2.35, 3 Sc 2.52
S: 0.0990 0.0990 0.0990  1 Mo 2.35, 3 Sc 2.52
Mo: 0.0000 0.0000 0.0000  2 S 2.35